No. 1
Entry from Alexandria via LeMat-Bulk: a relaxed Tl2AsHRu crystal (GGA-PBE).

Computed properties:
space-group type = P4/mmm (123)

abc: 5.5551 3.1885 5.5551
angles: 90.00 90.00 90.00
Last column: magnetic moment on the atom in μB.
Fractional positions:
Tl: 0.5000 0.0000 0.0000  -0.03
H: 0.0000 0.5000 0.0000  0.00
Ru: 0.5000 0.5000 0.5000  1.43
Tl: 0.0000 0.0000 0.5000  -0.01
As: 0.0000 0.0000 0.0000  0.01

=====

No. 2
Entry from Alexandria via LeMat-Bulk: a relaxed Ho3GaNi9Ge2 crystal (GGA-PBE).

Computed properties:
E_form = -0.211 eV/atom
space-group type = P-3m1 (164)

abc: 5.9313 5.9313 8.5998
angles: 90.00 90.00 120.00
Fractional positions:
Ho: 0.0000 0.0000 0.0000
Ni: 0.5000 0.5000 0.0000
Ni: 0.8667 0.1333 0.7228
Ni: 0.8667 0.7333 0.7228
Ho: 0.6667 0.3333 0.2883
Ni: 0.1333 0.2667 0.2772
Ni: 0.0000 0.5000 0.0000
Ge: 0.6667 0.3333 0.8158
Ni: 0.2667 0.1333 0.7228
Ga: 0.0000 0.0000 0.5000
Ni: 0.1333 0.8667 0.2772
Ni: 0.7333 0.8667 0.2772
Ge: 0.3333 0.6667 0.1842
Ho: 0.3333 0.6667 0.7117
Ni: 0.5000 0.0000 0.0000

=====

No. 3
Entry from Alexandria via LeMat-Bulk: a relaxed La2CuHgN crystal (GGA-PBE).

Computed properties:
energy relative to the elements, uncorrected = 0.9961 eV/atom
space-group type = P4/mmm (123)
ΔE to the lowest computed polymorph = 1588 meV per atom

abc: 5.7795 4.6642 5.7795
angles: 90.00 90.00 90.00
Fractional positions:
N: 0.5000 0.5000 0.5000
La: 0.5000 0.0000 0.0000
Cu: 0.0000 0.5000 0.0000
La: 0.0000 0.0000 0.5000
Hg: 0.0000 0.0000 0.0000

=====

No. 4
Entry from Alexandria via LeMat-Bulk: a relaxed Al2AgPt2 crystal (GGA-PBE).

Computed properties:
E_form = -0.769 eV/atom
space-group type = P4/mbm (127)
ΔE to the lowest computed polymorph = 18 meV per atom

abc: 7.4472 7.4472 2.8311
angles: 90.00 90.00 90.00
Fractional positions:
Al: 0.6457 0.1457 0.0000
Pt: 0.8505 0.3505 0.5000
Pt: 0.1495 0.6495 0.5000
Pt: 0.6495 0.8505 0.5000
Al: 0.1457 0.3543 0.0000
Pt: 0.3505 0.1495 0.5000
Ag: 0.0000 0.0000 0.0000
Ag: 0.5000 0.5000 0.0000
Al: 0.8543 0.6457 0.0000
Al: 0.3543 0.8543 0.0000

=====

No. 5
Entry from Alexandria via LeMat-Bulk: a relaxed NpH8Pt2 crystal (GGA-PBE).

Computed properties:
space-group type = C2/m (12)

abc: 3.6575 3.6575 9.5261
angles: 118.89 118.89 80.75
Last column: magnetic moment on the atom in μB.
Fractional positions:
H: 0.5297 0.5297 0.9247  -0.01
Pt: 0.8032 0.8032 0.2954  0.03
H: 0.1691 0.1691 0.5007  0.00
H: 0.4703 0.4703 0.0753  -0.01
H: 0.2650 0.7900 0.2765  -0.01
H: 0.2100 0.7350 0.7235  -0.01
H: 0.8309 0.8309 0.4993  0.00
Np: 0.0000 0.0000 0.0000  4.08
Pt: 0.1968 0.1968 0.7046  0.03
H: 0.7350 0.2100 0.7235  -0.01
H: 0.7900 0.2650 0.2765  -0.01

=====

No. 6
Entry from Alexandria via LeMat-Bulk: a relaxed EuScAl2 crystal (GGA-PBE).

Computed properties:
E_form = -0.273 eV/atom
space-group type = Fm-3m (225)
ΔE to the lowest computed polymorph = 67 meV per atom

abc: 5.0345 5.0345 5.0345
angles: 60.00 60.00 60.00
Last column: magnetic moment on the atom in μB.
Fractional positions:
Eu: 0.5000 0.5000 0.5000  6.73
Sc: 0.0000 0.0000 0.0000  0.00
Al: 0.2500 0.2500 0.2500  -0.01
Al: 0.7500 0.7500 0.7500  -0.01

=====

No. 7
Entry from Alexandria via LeMat-Bulk: a relaxed NbTc2N crystal (GGA-PBE).

Computed properties:
energy relative to the elements, uncorrected = 1.0226 eV/atom
space-group type = Fm-3m (225)
ΔE to the lowest computed polymorph = 1029 meV per atom

abc: 4.2751 4.2751 4.2751
angles: 60.00 60.00 60.00
Fractional positions:
N: 0.0000 0.0000 0.0000
Nb: 0.5000 0.5000 0.5000
Tc: 0.7500 0.7500 0.7500
Tc: 0.2500 0.2500 0.2500

=====

No. 8
Entry from Alexandria via LeMat-Bulk: a relaxed PmTmNi crystal (GGA-PBE).

Computed properties:
E_form = -0.271 eV/atom
space-group type = C2/m (12)
ΔE to the lowest computed polymorph = 2 meV per atom

abc: 3.6835 6.9447 6.3320
angles: 104.98 106.92 74.58
Fractional positions:
Pm: 0.7422 0.6844 0.5650
Tm: 0.3224 0.9953 0.0354
Ni: 0.0296 0.9355 0.3913
Tm: 0.4934 0.2193 0.6021
Pm: 0.0736 0.5302 0.0725
Ni: 0.7861 0.2790 0.2459

=====

No. 9
Entry from Alexandria via LeMat-Bulk: a relaxed GaFeN crystal (GGA-PBE).

Computed properties:
energy relative to the elements, uncorrected = 0.1698 eV/atom
space-group type = I4/mmm (139)

abc: 2.6851 2.6851 10.5771
angles: 97.29 97.29 90.00
Last column: magnetic moment on the atom in μB.
Fractional positions:
Ga: 0.6811 0.6811 0.3622  -0.02
Fe: 0.0557 0.0557 0.1113  2.01
Ga: 0.3189 0.3189 0.6378  -0.02
Fe: 0.9443 0.9443 0.8887  2.01
N: 0.5802 0.5802 0.1605  0.00
N: 0.4198 0.4198 0.8395  0.00

=====

No. 10
Entry from Alexandria via LeMat-Bulk: a relaxed BeGa2IrBr crystal (GGA-PBE).

Computed properties:
energy relative to the elements, uncorrected = 1.4542 eV/atom
space-group type = P4/mmm (123)

abc: 5.5169 4.5989 5.5169
angles: 90.00 90.00 90.00
Fractional positions:
Be: 0.5000 0.5000 0.5000
Br: 0.0000 0.0000 0.0000
Ir: 0.0000 0.5000 0.0000
Ga: 0.0000 0.0000 0.5000
Ga: 0.5000 0.0000 0.0000

=====

No. 11
Entry from Alexandria via LeMat-Bulk: a relaxed HoGa6Tc2 crystal (GGA-PBE).

Computed properties:
E_form = -0.196 eV/atom
space-group type = Immm (71)

abc: 3.5126 7.4786 7.4786
angles: 53.64 76.42 76.42
Fractional positions:
Ga: 0.3172 0.3797 0.9860
Ga: 0.5000 0.3257 0.6743
Ga: 0.3172 0.9860 0.3797
Tc: 0.1318 0.3682 0.3682
Ho: 0.0000 0.0000 0.0000
Ga: 0.5000 0.6743 0.3257
Tc: 0.8682 0.6318 0.6318
Ga: 0.6828 0.6203 0.0140
Ga: 0.6828 0.0140 0.6203

=====

No. 12
Entry from Alexandria via LeMat-Bulk: a relaxed Ce3NdTh2N6 crystal (GGA-PBE).

Computed properties:
energy relative to the elements, uncorrected = -1.5228 eV/atom
space-group type = C2/m (12)

abc: 6.2628 6.2628 6.2660
angles: 99.57 99.57 120.01
Fractional positions:
N: 0.9148 0.5728 0.7442
Ce: 0.8345 0.1655 0.5000
N: 0.2569 0.2569 0.7446
Ce: 0.5000 0.5000 0.5000
Th: 0.6668 0.3332 0.0000
Th: 0.3332 0.6668 0.0000
N: 0.7431 0.7431 0.2554
N: 0.0852 0.4272 0.2558
N: 0.4272 0.0852 0.2558
N: 0.5728 0.9148 0.7442
Nd: 0.0000 0.0000 0.0000
Ce: 0.1655 0.8345 0.5000

=====

no.,density of states at the Fermi level (states/eV/atom),E_tot (eV per atom)
1,0.911,-3.593
2,0.555,-5.412
3,0.815,-3.520
4,0.443,-5.253
5,0.820,-4.705
6,0.963,-6.296
7,0.518,-8.759
8,0.992,-5.272
9,0.520,-6.435
10,0.276,-2.609
11,0.430,-5.026
12,0.770,-8.803